A plane-wave DFT calculation with PBE-GGA was carried out for Rb4PrTa3O12 after structural relaxation.

Summary:
The calculation puts the uncorrected formation energy at -47.276 eV per formula unit. For the volume, the calculation gives 15.3 Å³ per atom. The space group is Im-3m.

abc: 7.350 7.350 7.350
angles: 109.47 109.47 109.47
Element x y z (fractional)
Rb (0.500, 0.500, 0.500)
Rb (0.000, 0.000, 0.500)
Rb (0.500, 0.000, 0.000)
Rb (0.000, 0.500, 0.000)
Pr (0.000, 0.000, 0.000)
Ta (0.500, 0.000, 0.500)
Ta (0.500, 0.500, 0.000)
Ta (0.000, 0.500, 0.500)
O (0.250, 0.500, 0.750)
O (0.725, 0.000, 0.725)
O (0.275, 0.000, 0.275)
O (0.750, 0.500, 0.250)
O (0.725, 0.725, 0.000)
O (0.275, 0.275, 0.000)
O (0.750, 0.250, 0.500)
O (0.250, 0.750, 0.500)
O (0.500, 0.250, 0.750)
O (0.000, 0.725, 0.725)
O (0.500, 0.750, 0.250)
O (0.000, 0.275, 0.275)